This record from Alexandria via LeMat-Bulk describes a relaxed Mg2ScZn crystal. The functional is PBE.

Cell lengths 3.1994, 3.1994, 8.0661 Å; angles 90.00, 90.00, 90.00 degrees
Space group P4/mmm (No. 123)
One atom of each set of equivalent atoms:
Mg: 0.0000 0.0000 0.2166 [2 per cell]
Sc: 0.5000 0.5000 0.5000 [1 per cell]
Zn: 0.5000 0.5000 0.0000 [1 per cell]

Size of the total moment (μB/f.u.): 0.22
Electronic total energy (eV/atom): -2.77
Energy of formation (meV/atom): -75